Crystalline Sr2MgH at its relaxed geometry. Source: the Alexandria database, functional PBE-GGA.

Lattice parameters (Å, degrees): 7.716 7.716 6.965 56.37 56.37 90.00
Element x y z (fractional)
H (0.500, 0.500, 0.000)
H (0.250, 0.750, 0.500)
Sr (0.514, 0.125, 0.250)
Sr (0.375, 0.486, 0.750)
Sr (0.236, 0.625, 0.250)
Sr (0.875, 0.764, 0.750)
Mg (0.000, 0.000, 0.000)
Mg (0.750, 0.250, 0.500)

Energy above the most stable polymorph in this dataset = 0.00 eV/f.u.
Electronic total energy = -2.173 eV per atom


Crystalline Sr2MgH at its relaxed geometry. Source: the Alexandria database, functional PBE-GGA.

Lattice parameters (Å, degrees): 5.716 5.716 5.716 60.00 60.00 60.00
Element x y z (fractional)
Sr (0.250, 0.250, 0.250)
Sr (0.750, 0.750, 0.750)
Mg (0.500, 0.500, 0.500)
H (0.000, 0.000, 0.000)

Energy above the most stable polymorph in this dataset = 1.49 eV/f.u.
Electronic total energy = -1.802 eV per atom


Crystalline SrMg2H at its relaxed geometry. Source: the Alexandria database, functional PBE-GGA.

Lattice parameters (Å, degrees): 5.465 5.465 5.465 60.00 60.00 60.00
Element x y z (fractional)
Mg (0.250, 0.250, 0.250)
Mg (0.750, 0.750, 0.750)
H (0.000, 0.000, 0.000)
Sr (0.500, 0.500, 0.500)

Energy above the most stable polymorph in this dataset = 2.40 eV/f.u.
Electronic total energy = -1.429 eV per atom


Crystalline Sr2MgH8 at its relaxed geometry. Source: the Alexandria database, functional PBE-GGA.

Lattice parameters (Å, degrees): 4.228 5.328 6.770 113.13 108.19 90.00
Element x y z (fractional)
H (0.804, 0.803, 0.608)
H (0.618, 0.871, 0.237)
H (0.382, 0.634, 0.764)
H (0.618, 0.366, 0.236)
H (0.966, 0.966, 0.932)
H (0.382, 0.129, 0.763)
H (0.034, 0.034, 0.068)
H (0.196, 0.197, 0.392)
Mg (0.500, 0.000, 0.000)
Sr (0.197, 0.697, 0.394)
Sr (0.803, 0.303, 0.606)

Electronic total energy = -3.137 eV per atom


Crystalline Sr3MgH8 at its relaxed geometry. Source: the Alexandria database, functional PBE-GGA.

Lattice parameters (Å, degrees): 5.860 7.736 7.736 120.00 90.00 90.00
Element x y z (fractional)
Sr (0.215, 0.829, 0.657)
Sr (0.215, 0.343, 0.171)
Sr (0.715, 0.657, 0.829)
Sr (0.715, 0.171, 0.829)
Sr (0.215, 0.829, 0.171)
Sr (0.715, 0.171, 0.343)
Mg (0.212, 0.333, 0.667)
Mg (0.712, 0.667, 0.333)
H (0.990, 0.091, 0.545)
H (0.057, 0.667, 0.333)
H (0.495, 0.000, 0.000)
H (0.990, 0.455, 0.909)
H (0.490, 0.545, 0.455)
H (0.798, 0.818, 0.182)
H (0.798, 0.818, 0.636)
H (0.798, 0.364, 0.182)
H (0.490, 0.545, 0.091)
H (0.557, 0.333, 0.667)
H (0.990, 0.455, 0.545)
H (0.490, 0.909, 0.455)
H (0.298, 0.182, 0.818)
H (0.298, 0.182, 0.364)
H (0.298, 0.636, 0.818)
H (0.995, 0.000, 0.000)

Electronic total energy = -3.246 eV per atom


Crystalline Sr12Mg3H5 at its relaxed geometry. Source: the Alexandria database, functional PBE-GGA.

Lattice parameters (Å, degrees): 15.303 15.303 15.303 109.47 109.47 109.47
Element x y z (fractional)
Sr (0.887, 0.296, 0.487)
Sr (0.204, 0.513, 0.613)
Sr (0.113, 0.704, 0.513)
Sr (0.613, 0.013, 0.204)
Sr (0.692, 0.204, 0.591)
Sr (0.591, 0.887, 0.400)
Sr (0.887, 0.591, 0.900)
Sr (0.513, 0.308, 0.900)
Sr (0.296, 0.409, 0.808)
Sr (0.204, 0.692, 0.091)
Sr (0.987, 0.387, 0.296)
Sr (0.308, 0.513, 0.400)
Sr (0.900, 0.091, 0.887)
Sr (0.900, 0.808, 0.513)
Sr (0.909, 0.808, 0.796)
Sr (0.600, 0.613, 0.409)
Sr (0.591, 0.704, 0.692)
Sr (0.909, 0.100, 0.613)
Sr (0.013, 0.613, 0.704)
Sr (0.704, 0.113, 0.013)
Sr (0.400, 0.387, 0.591)
Sr (0.013, 0.400, 0.808)
Sr (0.192, 0.091, 0.704)
Sr (0.513, 0.204, 0.113)
Sr (0.113, 0.409, 0.100)
Sr (0.487, 0.692, 0.100)
Sr (0.100, 0.909, 0.113)
Sr (0.987, 0.600, 0.192)
Sr (0.796, 0.308, 0.909)
Sr (0.091, 0.900, 0.387)
Sr (0.692, 0.487, 0.600)
Sr (0.600, 0.987, 0.692)
Sr (0.400, 0.013, 0.308)
Sr (0.808, 0.909, 0.296)
Sr (0.308, 0.796, 0.409)
Sr (0.192, 0.100, 0.987)
Sr (0.387, 0.400, 0.091)
Sr (0.808, 0.900, 0.013)
Sr (0.387, 0.987, 0.796)
Sr (0.100, 0.192, 0.487)
Sr (0.091, 0.192, 0.204)
Sr (0.409, 0.296, 0.308)
Sr (0.296, 0.887, 0.987)
Sr (0.487, 0.796, 0.887)
Sr (0.796, 0.487, 0.387)
Sr (0.704, 0.591, 0.192)
Sr (0.613, 0.600, 0.909)
Sr (0.409, 0.113, 0.600)
Mg (0.250, 0.625, 0.875)
Mg (0.375, 0.625, 0.250)
Mg (0.125, 0.250, 0.875)
Mg (0.375, 0.750, 0.625)
Mg (0.750, 0.375, 0.125)
Mg (0.750, 0.875, 0.625)
Mg (0.875, 0.125, 0.250)
Mg (0.250, 0.125, 0.375)
Mg (0.625, 0.250, 0.375)
Mg (0.625, 0.375, 0.750)
Mg (0.125, 0.875, 0.750)
Mg (0.875, 0.750, 0.125)
H (0.000, 0.000, 0.000)
H (0.000, 0.500, 0.000)
H (0.875, 0.625, 0.750)
H (0.000, 0.000, 0.500)
H (0.500, 0.000, 0.500)
H (0.500, 0.500, 0.000)
H (0.750, 0.625, 0.375)
H (0.500, 0.500, 0.500)
H (0.750, 0.125, 0.875)
H (0.875, 0.250, 0.625)
H (0.125, 0.750, 0.375)
H (0.375, 0.125, 0.750)
H (0.250, 0.875, 0.125)
H (0.500, 0.000, 0.000)
H (0.250, 0.375, 0.625)
H (0.125, 0.375, 0.250)
H (0.000, 0.500, 0.500)
H (0.625, 0.750, 0.875)
H (0.375, 0.250, 0.125)
H (0.625, 0.875, 0.250)

Electronic total energy = -2.234 eV per atom


Crystalline Sr2Mg3H10 at its relaxed geometry. Source: the Alexandria database, functional PBE-GGA.

Lattice parameters (Å, degrees): 9.181 9.181 7.387 69.84 69.84 35.99
Element x y z (fractional)
Sr (0.280, 0.280, 0.314)
Sr (0.384, 0.384, 0.721)
Sr (0.616, 0.616, 0.279)
Sr (0.720, 0.720, 0.686)
H (0.909, 0.399, 0.517)
H (0.091, 0.601, 0.483)
H (0.762, 0.762, 0.291)
H (0.238, 0.238, 0.709)
H (0.161, 0.612, 0.029)
H (0.484, 0.484, 0.192)
H (0.767, 0.233, 0.500)
H (0.839, 0.388, 0.971)
H (0.388, 0.839, 0.971)
H (0.020, 0.020, 0.823)
H (0.516, 0.516, 0.808)
H (0.135, 0.135, 0.257)
H (0.980, 0.980, 0.177)
H (0.500, 0.000, 0.000)
H (0.865, 0.865, 0.743)
H (0.000, 0.500, 0.000)
H (0.233, 0.767, 0.500)
H (0.612, 0.161, 0.029)
H (0.601, 0.091, 0.483)
H (0.399, 0.909, 0.517)
Mg (0.174, 0.174, 0.979)
Mg (0.075, 0.075, 0.553)
Mg (0.925, 0.925, 0.447)
Mg (0.258, 0.742, 0.000)
Mg (0.742, 0.258, 0.000)
Mg (0.826, 0.826, 0.021)

Electronic total energy = -3.141 eV per atom


Crystalline Sr2MgH at its relaxed geometry. Source: the Alexandria database, functional PBE-GGA.

Lattice parameters (Å, degrees): 4.044 4.044 8.963 76.96 76.96 60.00
Element x y z (fractional)
Sr (0.728, 0.728, 0.815)
Sr (0.272, 0.272, 0.185)
Mg (0.500, 0.500, 0.500)
H (0.000, 0.000, 0.000)

Energy above the most stable polymorph in this dataset = 0.15 eV/f.u.
Electronic total energy = -2.136 eV per atom


Question: What is the formula in the fifth record?
Answer: Sr3MgH8


Question: Which of these has the highest electronic total energy?
Answer: SrMg2H


Question: Which value of electronic total energy does entry 2 give?
Answer: -1.802 eV per atom